1.
Density functional theory data (GGA-PBE) for crystalline TlGa2Pb at its relaxed geometry.

Summary:
The total energy is -11.81 eV/f.u. The calculation puts the total moment at 0.00 μB per formula unit.

Unit cell a=5.0105 b=5.0105 c=4.0504 alpha=90.00 beta=90.00 gamma=90.00
Closest atoms and distances in Å follow each position.
Space group P4/mmm (No. 123)
Inequivalent atoms, fractional coordinates:
Tl  0.0000  0.0000  0.0000 [1 per cell]  8 Ga 3.22, 4 Pb 3.54
Ga  0.0000  0.5000  0.5000 [2 per cell]  4 Tl 3.22, 4 Pb 3.22, 4 Ga 3.54
Pb  0.5000  0.5000  0.0000 [1 per cell]  8 Ga 3.22, 4 Tl 3.54

2.
Density functional theory data (GGA-PBE) for crystalline Tl12GaPb3 at its relaxed geometry.

Summary:
The total energy is -42.09 eV/f.u. The calculation puts the total moment at 0.00 μB per formula unit.

Unit cell a=5.2815 b=5.2815 c=17.2866 alpha=90.00 beta=90.00 gamma=90.00
Closest atoms and distances in Å follow each position.
Space group P4/mmm (No. 123)
Inequivalent atoms, fractional coordinates:
Tl  0.0000  0.0000  0.0000 [1 per cell]  8 Tl 3.29
Tl  0.0000  0.0000  0.2424 [2 per cell]  8 Tl 3.45, 4 Pb 3.73
Tl  0.0000  0.0000  0.5000 [1 per cell]  8 Tl 3.46, 4 Pb 3.73
Tl  0.0000  0.5000  0.1138 [4 per cell]  4 Tl 3.29-3.45, 2 Ga 3.29, 2 Pb 3.43
Tl  0.0000  0.5000  0.3710 [4 per cell]  8 Tl 3.45-3.73, 4 Pb 3.46-3.47
Ga  0.5000  0.5000  0.0000 [1 per cell]  8 Tl 3.29
Pb  0.5000  0.5000  0.2403 [2 per cell]  12 Tl 3.43-3.73
Pb  0.5000  0.5000  0.5000 [1 per cell]  12 Tl 3.46-3.73

3.
Density functional theory data (GGA-PBE) for crystalline TlGaPb5 at its relaxed geometry.

Summary:
The total energy is -23.66 eV/f.u. The calculation puts the total moment at 0.00 μB per formula unit.

Unit cell a=5.0155 b=5.0155 c=8.6282 alpha=90.00 beta=90.00 gamma=90.00
Closest atoms and distances in Å follow each position.
Space group P4/mmm (No. 123)
Inequivalent atoms, fractional coordinates:
Tl  0.0000  0.0000  0.0000 [1 per cell]  12 Pb 3.55
Ga  0.0000  0.0000  0.5000 [1 per cell]  8 Pb 3.09
Pb  0.0000  0.5000  0.2911 [4 per cell]  2 Ga 3.09
Pb  0.5000  0.5000  0.0000 [1 per cell]  4 Tl 3.55, 8 Pb 3.55